Density functional theory data (PBE) for SrNpTaO6 after structural relaxation.

Geometry as CIF:
```
data_SrNpTaO6
_cell_length_a 5.6052
_cell_length_b 5.6052
_cell_length_c 10.4955
_cell_angle_alpha 90.00
_cell_angle_beta 90.00
_cell_angle_gamma 120.00
_space_group_name_H-M_alt 'P -3 1 c'
_space_group_IT_number 163
_space_group_name_Hall '-P 3 2c'
loop_
_atom_site_label
_atom_site_fract_x
_atom_site_fract_y
_atom_site_fract_z
_atom_site_occupancy
Sr1 0.0000 0.0000 0.0000 1
Np1 0.3333 0.6667 0.2500 1
Ta1 0.3333 0.6667 0.7500 1
O1 0.0176 0.3811 0.6460 1
```

Total magnetic moment in μB per formula unit: 2.00
E in eV/atom: -9.223

---

Density functional theory data (PBE) for SrNp2TaO8 after structural relaxation.

Geometry as CIF:
```
data_SrNp2TaO8
_cell_length_a 7.0740
_cell_length_b 7.2579
_cell_length_c 6.9603
_cell_angle_alpha 90.00
_cell_angle_beta 90.00
_cell_angle_gamma 90.00
_space_group_name_H-M_alt 'C m m m'
_space_group_IT_number 65
_space_group_name_Hall '-C 2 2'
loop_
_atom_site_label
_atom_site_fract_x
_atom_site_fract_y
_atom_site_fract_z
_atom_site_occupancy
Sr1 0.0000 0.0000 0.0000 1
Np1 0.0000 0.5000 0.2569 1
Ta1 0.0000 0.0000 0.5000 1
O1 0.0000 0.2855 0.5000 1
O2 0.0000 0.3307 0.0000 1
O3 0.1963 0.0000 0.2936 1
```

Total magnetic moment in μB per formula unit: 5.00
E in eV/atom: -9.525

---

Density functional theory data (PBE) for SrTb2NpO8 after structural relaxation.

Geometry as CIF:
```
data_SrTb2NpO8
_cell_length_a 4.0149
_cell_length_b 7.7208
_cell_length_c 5.3445
_cell_angle_alpha 90.00
_cell_angle_beta 94.21
_cell_angle_gamma 90.00
_space_group_name_H-M_alt 'P 1 2/m 1'
_space_group_IT_number 10
_space_group_name_Hall '-P 2y'
loop_
_atom_site_label
_atom_site_fract_x
_atom_site_fract_y
_atom_site_fract_z
_atom_site_occupancy
Sr1 0.0000 0.0000 0.0000 1
Tb1 0.5000 0.2618 0.5000 1
Np1 0.0000 0.5000 0.0000 1
O1 0.0292 0.2932 0.7587 1
O2 0.4573 0.5000 0.2274 1
O3 0.4900 0.0000 0.7084 1
```

Total magnetic moment in μB per formula unit: 0.95
E in eV/atom: -8.191

---

Question: The highest E belongs to which entry?
Answer: SrTb2NpO8

---

Repeat the third record exactly.
Density functional theory data (PBE) for SrTb2NpO8 after structural relaxation.

Geometry as CIF:
```
data_SrTb2NpO8
_cell_length_a 4.0149
_cell_length_b 7.7208
_cell_length_c 5.3445
_cell_angle_alpha 90.00
_cell_angle_beta 94.21
_cell_angle_gamma 90.00
_space_group_name_H-M_alt 'P 1 2/m 1'
_space_group_IT_number 10
_space_group_name_Hall '-P 2y'
loop_
_atom_site_label
_atom_site_fract_x
_atom_site_fract_y
_atom_site_fract_z
_atom_site_occupancy
Sr1 0.0000 0.0000 0.0000 1
Tb1 0.5000 0.2618 0.5000 1
Np1 0.0000 0.5000 0.0000 1
O1 0.0292 0.2932 0.7587 1
O2 0.4573 0.5000 0.2274 1
O3 0.4900 0.0000 0.7084 1
```

Total magnetic moment in μB per formula unit: 0.95
E in eV/atom: -8.191

---

Question: The highest E belongs to which entry?
Answer: SrTb2NpO8

---

Repeat the first record exactly.
Density functional theory data (PBE) for SrNpTaO6 after structural relaxation.

Geometry as CIF:
```
data_SrNpTaO6
_cell_length_a 5.6052
_cell_length_b 5.6052
_cell_length_c 10.4955
_cell_angle_alpha 90.00
_cell_angle_beta 90.00
_cell_angle_gamma 120.00
_space_group_name_H-M_alt 'P -3 1 c'
_space_group_IT_number 163
_space_group_name_Hall '-P 3 2c'
loop_
_atom_site_label
_atom_site_fract_x
_atom_site_fract_y
_atom_site_fract_z
_atom_site_occupancy
Sr1 0.0000 0.0000 0.0000 1
Np1 0.3333 0.6667 0.2500 1
Ta1 0.3333 0.6667 0.7500 1
O1 0.0176 0.3811 0.6460 1
```

Total magnetic moment in μB per formula unit: 2.00
E in eV/atom: -9.223